No. 1
A plane-wave DFT calculation with PBE was carried out for GaBiI after structural relaxation.

For the formation energy without anion corrections, the calculation gives -176 meV/atom. Its energy above the most stable polymorph in this dataset is 31 meV per atom. The magnetization is 0.000 μB per formula unit.

The structure belongs to space group Cm (No. 8); the cell edges are 12.7435, 4.5681 and 7.5914 Å and the angles 90.00°, 93.01° and 90.00°. The distinct sites, in fractional coordinates, are Ga at (0.0000, 0.0000, 0.0000), Ga at (0.2398, 0.5000, 0.7001), Bi at (0.0251, 0.5000, 0.7967), Bi at (0.3252, 0.0000, 0.5434), I at (0.0702, 0.0000, 0.3357) and I at (0.2920, 0.5000, 0.0644).

No. 2
A plane-wave DFT calculation with PBE was carried out for GaBiI after structural relaxation.

For the formation energy without anion corrections, the calculation gives -120 meV/atom. Its energy above the most stable polymorph in this dataset is 87 meV per atom. The magnetization is 0.000 μB per formula unit.

The structure belongs to space group P1 (No. 1); the cell edges are 4.6546, 7.0232 and 7.9302 Å and the angles 116.03°, 94.99° and 90.02°. The distinct sites, in fractional coordinates, are Ga at (0.0000, 0.0000, 0.0000), Ga at (0.2121, 0.8316, 0.6602), Bi at (0.5229, 0.2444, 0.0325), Bi at (0.6893, 0.0444, 0.6286), I at (0.2470, 0.4128, 0.5345) and I at (0.9645, 0.7068, 0.1270).

No. 3
A plane-wave DFT calculation with PBE was carried out for GaBiI after structural relaxation.

For the formation energy without anion corrections, the calculation gives -159 meV/atom. Its energy above the most stable polymorph in this dataset is 48 meV per atom. The magnetization is 0.000 μB per formula unit.

The structure belongs to space group Amm2 (No. 38); the cell edges are 4.5293, 7.9845 and 13.3944 Å and the angles 90.00°, 90.00° and 90.00°. The distinct sites, in fractional coordinates, are Ga at (0.0000, 0.2172, 0.0000), Bi at (0.5000, 0.1929, 0.8815), I at (0.0000, 0.0000, 0.1614) and I at (0.0000, 0.0000, 0.6211).

No. 4
A plane-wave DFT calculation with PBE was carried out for GaBiI after structural relaxation.

For the formation energy without anion corrections, the calculation gives -57 meV/atom. Its energy above the most stable polymorph in this dataset is 150 meV per atom. The magnetization is 0.000 μB per formula unit.

The structure belongs to space group P1 (No. 1); the cell edges are 4.6549, 5.7637 and 8.7666 Å and the angles 72.81°, 89.66° and 87.59°. The distinct sites, in fractional coordinates, are Ga at (0.0000, 0.0000, 0.0000), Ga at (0.0099, 0.6643, 0.2706), Bi at (0.2610, 0.4914, 0.9285), Bi at (0.5100, 0.0303, 0.8174), I at (0.5236, 0.3376, 0.2815) and I at (0.9564, 0.6777, 0.5846).

No. 5
A plane-wave DFT calculation with PBE was carried out for GaBiI3 after structural relaxation.

For the formation energy without anion corrections, the calculation gives -91 meV/atom. Its energy above the most stable polymorph in this dataset is 92 meV per atom. The magnetization is 0.000 μB per formula unit.

The structure belongs to space group Pm-3m (No. 221); the cell edges are 6.2563, 6.2563 and 6.2563 Å and the angles 90.00°, 90.00° and 90.00°. The distinct sites, in fractional coordinates, are Ga at (0.0000, 0.0000, 0.0000), Bi at (0.5000, 0.5000, 0.5000) and I at (0.0000, 0.5000, 0.5000).

No. 6
A plane-wave DFT calculation with PBE was carried out for GaBiI after structural relaxation.

For the formation energy without anion corrections, the calculation gives -100 meV/atom. Its energy above the most stable polymorph in this dataset is 107 meV per atom. The magnetization is 0.000 μB per formula unit.

The structure belongs to space group P1 (No. 1); the cell edges are 4.1080, 6.0437 and 8.5773 Å and the angles 82.84°, 76.31° and 89.55°. The distinct sites, in fractional coordinates, are Ga at (0.0000, 0.0000, 0.0000), Ga at (0.1723, 0.6177, 0.6631), Bi at (0.4209, 0.2234, 0.1584), Bi at (0.5324, 0.6592, 0.9338), I at (0.1590, 0.1349, 0.6670) and I at (0.7948, 0.6697, 0.4107).